(1)
VASP calculation (GGA-PBE) on a geometry-optimized Ca2AcPaO6 structure.

The structure in POSCAR format:
```
Ca2AcPaO6
1.0
6.0328 0.0001 0.0002
3.0165 5.2246 0.0000
3.0163 1.7417 5.2229
Ca Ac Pa O
2 1 1 6
Direct
0.5305 0.5305 0.4086
0.0225 0.0225 0.9325
0.8038 0.8038 0.5885
0.3167 0.3167 0.0500
0.5958 0.2174 0.2419
0.2174 0.9449 0.2418
0.9449 0.5958 0.2419
0.3967 0.6907 0.7700
0.6907 0.1426 0.7700
0.1426 0.3967 0.7700
```

Properties
total DFT energy (no corrections): -0.297 hartree per atom
formation energy from raw total energies: -33.36 eV per formula unit

=====

(2)
VASP calculation (GGA-PBE) on a geometry-optimized MgTiNb2Ru structure.

The structure in POSCAR format:
```
MgTiNb2Ru
1.0
-0.1700 4.4055 -1.2083
-2.9589 0.9248 3.7881
3.6376 0.8620 2.6309
Ru Nb Mg Ti
1 2 1 1
Direct
0.5000 0.5000 0.5000
0.0000 0.0000 0.5000
0.5000 0.0000 0.0000
0.0000 0.5000 0.0000
0.0000 0.0000 0.0000
```

Properties
total DFT energy (no corrections): -0.235 hartree per atom
formation energy: 1.39 eV/atom

=====

(3)
VASP calculation (GGA-PBE) on a geometry-optimized NbB structure.

The structure in POSCAR format:
```
NbB
1.0
-5.0843 1.9899 -1.2181
-2.6713 -3.1209 6.0516
1.9260 7.9521 4.9511
Nb B
16 16
Direct
0.0000 0.7949 0.0000
0.0000 0.2051 0.0000
0.2500 0.9551 0.2500
0.2500 0.5449 0.2500
0.0000 0.2949 0.5000
0.0000 0.7051 0.5000
0.2500 0.4551 0.7500
0.2500 0.0449 0.7500
0.5000 0.7949 0.5000
0.5000 0.2051 0.5000
0.7500 0.9551 0.7500
0.7500 0.5449 0.7500
0.5000 0.2949 0.0000
0.5000 0.7051 0.0000
0.7500 0.4551 0.2500
0.7500 0.0449 0.2500
0.3392 0.0000 0.0000
0.6608 0.0000 0.0000
0.9108 0.7500 0.2500
0.5892 0.7500 0.2500
0.3392 0.5000 0.5000
0.6608 0.5000 0.5000
0.9108 0.2500 0.7500
0.5892 0.2500 0.7500
0.8392 0.0000 0.5000
0.1608 0.0000 0.5000
0.4108 0.7500 0.7500
0.0892 0.7500 0.7500
0.8392 0.5000 0.0000
0.1608 0.5000 0.0000
0.4108 0.2500 0.2500
0.0892 0.2500 0.2500
```

Properties
total DFT energy (no corrections): -0.322 hartree per atom
formation energy: -0.39 eV/atom